Material: BaLa4Br
Method: DFT, PBE
State: relaxed

abc: 6.9957 6.9957 6.9957
angles: 60.00 60.00 60.00
Last column: magnetic moment on the atom in μB.
Positions (direct):
Ba: 0.7500 0.7500 0.7500  0.11
La: 0.8536 0.3821 0.3821  0.20
La: 0.3821 0.3821 0.8536  0.20
La: 0.3821 0.8536 0.3821  0.20
La: 0.3821 0.3821 0.3821  0.20
Br: 0.0000 0.0000 0.0000  0.02

Calculated values
Uncorrected formation energy, kJ/mol of atoms: 16
Spin magnetization, μB/atom: 0.353